# CaSc3Zn meta-GGA SCAN single point on PBEsol structure
# Uncorrected energy, eV per cell: -59.57
# Formation enthalpy at 0 K, meV/atom: 1264
# N(E_F), states/eV/atom: 0.6354
data_CaSc3Zn
_chemical_formula_sum 'Ca1 Sc3 Zn1'
_symmetry_space_group_name_H-M 'P m -3 m'
_symmetry_Int_Tables_number 221
_symmetry_space_group_name_Hall '-P 4 2 3'
_cell_length_a 5.007
_cell_length_b 5.007
_cell_length_c 5.007
_cell_angle_alpha 90.00
_cell_angle_beta 90.00
_cell_angle_gamma 90.00
loop_
_atom_site_label
_atom_site_fract_x
_atom_site_fract_y
_atom_site_fract_z
Ca1 0.000 0.000 0.000
Sc1 0.000 0.000 0.500
Zn1 0.500 0.500 0.500

# LaInPbAu2 meta-GGA SCAN single point on PBEsol structure
# Uncorrected energy, eV per cell: -290.09
# Formation enthalpy at 0 K, meV/atom: 99
# N(E_F), states/eV/atom: 0.6796
data_LaInPbAu2
_chemical_formula_sum 'La1 In1 Pb1 Au2'
_symmetry_space_group_name_H-M 'P 4/m m m'
_symmetry_Int_Tables_number 123
_symmetry_space_group_name_Hall '-P 4 2'
_cell_length_a 5.200
_cell_length_b 5.200
_cell_length_c 5.524
_cell_angle_alpha 90.00
_cell_angle_beta 90.00
_cell_angle_gamma 90.00
loop_
_atom_site_label
_atom_site_fract_x
_atom_site_fract_y
_atom_site_fract_z
La1 0.000 0.000 0.000
In1 0.500 0.500 0.000
Pb1 0.500 0.500 0.500
Au1 0.000 0.500 0.500

# FeHgRu2 meta-GGA SCAN single point on PBEsol structure
# Uncorrected energy, eV per cell: -615.30
# Formation enthalpy at 0 K, meV/atom: 531
# N(E_F), states/eV/atom: 1.1329
data_FeHgRu2
_chemical_formula_sum 'Fe4 Hg4 Ru8'
_symmetry_space_group_name_H-M 'F -4 3 m'
_symmetry_Int_Tables_number 216
_symmetry_space_group_name_Hall 'F -4 2 3'
_cell_length_a 6.163
_cell_length_b 6.163
_cell_length_c 6.163
_cell_angle_alpha 90.00
_cell_angle_beta 90.00
_cell_angle_gamma 90.00
loop_
_atom_site_label
_atom_site_fract_x
_atom_site_fract_y
_atom_site_fract_z
Fe1 0.000 0.000 0.000
Hg1 0.250 0.250 0.750
Ru1 0.000 0.000 0.500
Ru2 0.250 0.250 0.250

# RbSn2IrW meta-GGA SCAN single point on PBEsol structure
# Uncorrected energy, eV per cell: -228.80
# Formation enthalpy at 0 K, meV/atom: 913
# N(E_F), states/eV/atom: 0.8778
data_RbSn2IrW
_chemical_formula_sum 'Rb1 Sn2 Ir1 W1'
_symmetry_space_group_name_H-M 'P 4/m m m'
_symmetry_Int_Tables_number 123
_symmetry_space_group_name_Hall '-P 4 2'
_cell_length_a 5.175
_cell_length_b 5.175
_cell_length_c 5.061
_cell_angle_alpha 90.00
_cell_angle_beta 90.00
_cell_angle_gamma 90.00
loop_
_atom_site_label
_atom_site_fract_x
_atom_site_fract_y
_atom_site_fract_z
Rb1 0.000 0.000 0.000
Sn1 0.000 0.500 0.500
Ir1 0.500 0.500 0.500
W1 0.500 0.500 0.000

# Co3As5 meta-GGA SCAN single point on PBEsol structure
# Uncorrected energy, eV per cell: -300.76
# Formation enthalpy at 0 K, meV/atom: 311
# N(E_F), states/eV/atom: 0.4517
data_Co3As5
_chemical_formula_sum 'Co6 As10'
_symmetry_space_group_name_H-M 'C m m m'
_symmetry_Int_Tables_number 65
_symmetry_space_group_name_Hall '-C 2 2'
_cell_length_a 6.434
_cell_length_b 9.673
_cell_length_c 3.831
_cell_angle_alpha 90.00
_cell_angle_beta 90.00
_cell_angle_gamma 90.00
loop_
_atom_site_label
_atom_site_fract_x
_atom_site_fract_y
_atom_site_fract_z
Co1 0.000 0.000 0.000
Co2 0.000 0.189 0.500
As1 0.000 0.500 0.000
As2 0.219 0.000 0.500
As3 0.250 0.250 0.000

# SrTl2Cd meta-GGA SCAN single point on PBEsol structure
# Uncorrected energy, eV per cell: -198.53
# Formation enthalpy at 0 K, meV/atom: -280
# N(E_F), states/eV/atom: 0.4577
data_SrTl2Cd
_chemical_formula_sum 'Sr1 Tl2 Cd1'
_symmetry_space_group_name_H-M 'P 4/m m m'
_symmetry_Int_Tables_number 123
_symmetry_space_group_name_Hall '-P 4 2'
_cell_length_a 3.817
_cell_length_b 3.817
_cell_length_c 7.569
_cell_angle_alpha 90.00
_cell_angle_beta 90.00
_cell_angle_gamma 90.00
loop_
_atom_site_label
_atom_site_fract_x
_atom_site_fract_y
_atom_site_fract_z
Sr1 0.000 0.000 0.000
Tl1 0.500 0.500 0.286
Cd1 0.000 0.000 0.500

# CuRe2AgF meta-GGA SCAN single point on PBEsol structure
# Uncorrected energy, eV per cell: -182.76
# Formation energy without anion corrections, eV per atom: 1.9080
# N(E_F), states/eV/atom: 0.4672
data_CuRe2AgF
_chemical_formula_sum 'Cu1 Re2 Ag1 F1'
_symmetry_space_group_name_H-M 'P 4/m m m'
_symmetry_Int_Tables_number 123
_symmetry_space_group_name_Hall '-P 4 2'
_cell_length_a 4.549
_cell_length_b 4.549
_cell_length_c 4.710
_cell_angle_alpha 90.00
_cell_angle_beta 90.00
_cell_angle_gamma 90.00
loop_
_atom_site_label
_atom_site_fract_x
_atom_site_fract_y
_atom_site_fract_z
Cu1 0.000 0.000 0.000
Re1 0.000 0.500 0.000
Ag1 0.000 0.000 0.500
F1 0.500 0.500 0.500

# LiDy2Tc meta-GGA SCAN single point on PBEsol structure
# Uncorrected energy, eV per cell: -533.23
# Formation enthalpy at 0 K, meV/atom: -66
# N(E_F), states/eV/atom: 0.7498
data_LiDy2Tc
_chemical_formula_sum 'Li4 Dy8 Tc4'
_symmetry_space_group_name_H-M 'F m -3 m'
_symmetry_Int_Tables_number 225
_symmetry_space_group_name_Hall '-F 4 2 3'
_cell_length_a 6.852
_cell_length_b 6.852
_cell_length_c 6.852
_cell_angle_alpha 90.00
_cell_angle_beta 90.00
_cell_angle_gamma 90.00
loop_
_atom_site_label
_atom_site_fract_x
_atom_site_fract_y
_atom_site_fract_z
Li1 0.000 0.000 0.000
Dy1 0.250 0.250 0.250
Tc1 0.000 0.000 0.500

# YMoO4F meta-GGA SCAN single point on PBEsol structure
# Uncorrected energy, eV per cell: -451.33
# Formation energy without anion corrections, eV per atom: -3.0914
# N(E_F), states/eV/atom: 0.0000
data_YMoO4F
_chemical_formula_sum 'Y4 Mo4 O16 F4'
_symmetry_space_group_name_H-M 'P 1 21/c 1'
_symmetry_Int_Tables_number 14
_symmetry_space_group_name_Hall '-P 2ybc'
_cell_length_a 5.184
_cell_length_b 12.237
_cell_length_c 6.624
_cell_angle_alpha 90.00
_cell_angle_beta 113.63
_cell_angle_gamma 90.00
loop_
_atom_site_label
_atom_site_fract_x
_atom_site_fract_y
_atom_site_fract_z
Y1 0.139 0.051 0.300
Mo1 0.418 0.142 0.868
O1 0.192 0.065 0.964
O2 0.264 0.653 0.407
O3 0.306 0.223 0.294
O4 0.498 0.069 0.663
F1 0.037 0.599 0.958

# ZrCdOs2 meta-GGA SCAN single point on PBEsol structure
# Uncorrected energy, eV per cell: -204.59
# Formation enthalpy at 0 K, meV/atom: 72
# N(E_F), states/eV/atom: 0.6417
data_ZrCdOs2
_chemical_formula_sum 'Zr1 Cd1 Os2'
_symmetry_space_group_name_H-M 'P 4/m m m'
_symmetry_Int_Tables_number 123
_symmetry_space_group_name_Hall '-P 4 2'
_cell_length_a 4.116
_cell_length_b 4.116
_cell_length_c 3.860
_cell_angle_alpha 90.00
_cell_angle_beta 90.00
_cell_angle_gamma 90.00
loop_
_atom_site_label
_atom_site_fract_x
_atom_site_fract_y
_atom_site_fract_z
Zr1 0.000 0.000 0.000
Cd1 0.500 0.500 0.000
Os1 0.000 0.500 0.500

# SrTiCu3 meta-GGA SCAN single point on PBEsol structure
# Uncorrected energy, eV per cell: -76.00
# Formation enthalpy at 0 K, meV/atom: 1581
# N(E_F), states/eV/atom: 0.7535
data_SrTiCu3
_chemical_formula_sum 'Sr1 Ti1 Cu3'
_symmetry_space_group_name_H-M 'P m -3 m'
_symmetry_Int_Tables_number 221
_symmetry_space_group_name_Hall '-P 4 2 3'
_cell_length_a 4.879
_cell_length_b 4.879
_cell_length_c 4.879
_cell_angle_alpha 90.00
_cell_angle_beta 90.00
_cell_angle_gamma 90.00
loop_
_atom_site_label
_atom_site_fract_x
_atom_site_fract_y
_atom_site_fract_z
Sr1 0.000 0.000 0.000
Ti1 0.500 0.500 0.500
Cu1 0.000 0.000 0.500

# Li3Cr2FeO6 meta-GGA SCAN single point on PBEsol structure
# Uncorrected energy, eV per cell: -254.44
# Formation energy without anion corrections, eV per atom: -2.3137
data_Li3Cr2FeO6
_chemical_formula_sum 'Li6 Cr4 Fe2 O12'
_symmetry_space_group_name_H-M 'C 1 2/m 1'
_symmetry_Int_Tables_number 12
_symmetry_space_group_name_Hall '-C 2y'
_cell_length_a 12.574
_cell_length_b 2.850
_cell_length_c 5.764
_cell_angle_alpha 90.00
_cell_angle_beta 104.04
_cell_angle_gamma 90.00
loop_
_atom_site_label
_atom_site_fract_x
_atom_site_fract_y
_atom_site_fract_z
Li1 0.000 0.000 0.000
Li2 0.164 0.500 0.331
Cr1 0.165 0.500 0.826
Fe1 0.000 0.000 0.500
O1 0.004 0.500 0.733
O2 0.160 0.000 0.591
O3 0.172 0.000 0.068

# CuTe2HW meta-GGA SCAN single point on PBEsol structure
# Uncorrected energy, eV per cell: -159.14
# N(E_F), states/eV/atom: 0.6657
data_CuTe2HW
_chemical_formula_sum 'Cu1 Te2 H1 W1'
_symmetry_space_group_name_H-M 'P 4/m m m'
_symmetry_Int_Tables_number 123
_symmetry_space_group_name_Hall '-P 4 2'
_cell_length_a 5.101
_cell_length_b 5.101
_cell_length_c 3.204
_cell_angle_alpha 90.00
_cell_angle_beta 90.00
_cell_angle_gamma 90.00
loop_
_atom_site_label
_atom_site_fract_x
_atom_site_fract_y
_atom_site_fract_z
Cu1 0.000 0.000 0.000
Te1 0.000 0.500 0.000
H1 0.000 0.000 0.500
W1 0.500 0.500 0.500

# RbRh3Se meta-GGA SCAN single point on PBEsol structure
# Uncorrected energy, eV per cell: -130.04
# Formation energy without anion corrections, eV per atom: 2.4185
# N(E_F), states/eV/atom: 1.5783
data_RbRh3Se
_chemical_formula_sum 'Rb1 Rh3 Se1'
_symmetry_space_group_name_H-M 'P m -3 m'
_symmetry_Int_Tables_number 221
_symmetry_space_group_name_Hall '-P 4 2 3'
_cell_length_a 4.730
_cell_length_b 4.730
_cell_length_c 4.730
_cell_angle_alpha 90.00
_cell_angle_beta 90.00
_cell_angle_gamma 90.00
loop_
_atom_site_label
_atom_site_fract_x
_atom_site_fract_y
_atom_site_fract_z
Rb1 0.000 0.000 0.000
Rh1 0.000 0.000 0.500
Se1 0.500 0.500 0.500

# PRhBr2 meta-GGA SCAN single point on PBEsol structure
# Uncorrected energy, eV per cell: -85.64
# Energy above the lowest structure with this stoichiometry, eV per formula unit: 0.00
# Formation energy without anion corrections, eV per atom: -0.6381
# N(E_F), states/eV/atom: 0.0000
data_PRhBr2
_chemical_formula_sum 'P1 Rh1 Br2'
_symmetry_space_group_name_H-M 'P 3 m 1'
_symmetry_Int_Tables_number 156
_symmetry_space_group_name_Hall 'P 3 -2"'
_cell_length_a 3.5375
_cell_length_b 3.5375
_cell_length_c 8.0121
_cell_angle_alpha 90.00
_cell_angle_beta 90.00
_cell_angle_gamma 120.00
loop_
_atom_site_label
_atom_site_fract_x
_atom_site_fract_y
_atom_site_fract_z
P1 0.0000 0.0000 0.0000
Rh1 0.6667 0.3333 0.1262
Br1 0.0000 0.0000 0.7266
Br2 0.3333 0.6667 0.3361

# Hf2BiPW meta-GGA SCAN single point on PBEsol structure
# Uncorrected energy, eV per cell: -278.61
# Formation enthalpy at 0 K, meV/atom: 1081
# N(E_F), states/eV/atom: 0.9443
data_Hf2BiPW
_chemical_formula_sum 'Hf2 Bi1 P1 W1'
_symmetry_space_group_name_H-M 'P 4/m m m'
_symmetry_Int_Tables_number 123
_symmetry_space_group_name_Hall '-P 4 2'
_cell_length_a 5.027
_cell_length_b 5.027
_cell_length_c 5.117
_cell_angle_alpha 90.00
_cell_angle_beta 90.00
_cell_angle_gamma 90.00
loop_
_atom_site_label
_atom_site_fract_x
_atom_site_fract_y
_atom_site_fract_z
Hf1 0.000 0.500 0.000
Bi1 0.000 0.000 0.500
P1 0.500 0.500 0.500
W1 0.000 0.000 0.000

# Li5SnP4O14 meta-GGA SCAN single point on PBEsol structure
# Uncorrected energy, eV per cell: -468.19
# Formation energy without anion corrections, eV per atom: -2.3914
# N(E_F), states/eV/atom: 0.0624
data_Li5SnP4O14
_chemical_formula_sum 'Li10 Sn2 P8 O28'
_symmetry_space_group_name_H-M 'P -1'
_symmetry_Int_Tables_number 2
_symmetry_space_group_name_Hall '-P 1'
_cell_length_a 6.812
_cell_length_b 8.722
_cell_length_c 9.525
_cell_angle_alpha 79.93
_cell_angle_beta 78.08
_cell_angle_gamma 72.12
loop_
_atom_site_label
_atom_site_fract_x
_atom_site_fract_y
_atom_site_fract_z
Li1 0.058 0.020 0.123
Li2 0.236 0.233 0.911
Li3 0.271 0.759 0.573
Li4 0.334 0.708 0.239
Li5 0.441 0.970 0.371
Sn1 0.128 0.359 0.255
P1 0.094 0.127 0.584
P2 0.188 0.616 0.964
P3 0.303 0.383 0.559
P4 0.417 0.856 0.923
O1 0.004 0.256 0.096
O2 0.039 0.178 0.430
O3 0.093 0.893 0.305
O4 0.139 0.282 0.630
O5 0.161 0.614 0.130
O6 0.210 0.542 0.626
O7 0.216 0.994 0.910
O8 0.229 0.454 0.916
O9 0.297 0.989 0.580
O10 0.311 0.411 0.394
O11 0.381 0.688 0.892
O12 0.398 0.134 0.201
O13 0.470 0.829 0.073
O14 0.487 0.721 0.399

# KBa2Hg meta-GGA SCAN single point on PBEsol structure
# Uncorrected energy, eV per cell: -623.22
# Formation enthalpy at 0 K, meV/atom: -53
# N(E_F), states/eV/atom: 0.9364
data_KBa2Hg
_chemical_formula_sum 'K4 Ba8 Hg4'
_symmetry_space_group_name_H-M 'F -4 3 m'
_symmetry_Int_Tables_number 216
_symmetry_space_group_name_Hall 'F -4 2 3'
_cell_length_a 8.532
_cell_length_b 8.532
_cell_length_c 8.532
_cell_angle_alpha 90.00
_cell_angle_beta 90.00
_cell_angle_gamma 90.00
loop_
_atom_site_label
_atom_site_fract_x
_atom_site_fract_y
_atom_site_fract_z
K1 0.000 0.000 0.000
Ba1 0.000 0.000 0.500
Ba2 0.250 0.250 0.750
Hg1 0.250 0.250 0.250

# CdIrPtO2 meta-GGA SCAN single point on PBEsol structure
# Uncorrected energy, eV per cell: -184.09
# Formation energy without anion corrections, eV per atom: 0.0162
# N(E_F), states/eV/atom: 1.0002
data_CdIrPtO2
_chemical_formula_sum 'Cd1 Ir1 Pt1 O2'
_symmetry_space_group_name_H-M 'P 4/m m m'
_symmetry_Int_Tables_number 123
_symmetry_space_group_name_Hall '-P 4 2'
_cell_length_a 3.692
_cell_length_b 3.692
_cell_length_c 6.477
_cell_angle_alpha 90.00
_cell_angle_beta 90.00
_cell_angle_gamma 90.00
loop_
_atom_site_label
_atom_site_fract_x
_atom_site_fract_y
_atom_site_fract_z
Cd1 0.000 0.000 0.000
Ir1 0.000 0.000 0.500
Pt1 0.500 0.500 0.000
O1 0.000 0.500 0.500

# Co12Ni17 meta-GGA SCAN single point on PBEsol structure
# Uncorrected energy, eV per cell: -961.17
# Formation enthalpy at 0 K, meV/atom: 69
# N(E_F), states/eV/atom: 0.7561
data_Co12Ni17
_chemical_formula_sum 'Co24 Ni34'
_symmetry_space_group_name_H-M 'I -4 3 m'
_symmetry_Int_Tables_number 217
_symmetry_space_group_name_Hall 'I -4 2 3'
_cell_length_a 8.491
_cell_length_b 8.491
_cell_length_c 8.491
_cell_angle_alpha 90.00
_cell_angle_beta 90.00
_cell_angle_gamma 90.00
loop_
_atom_site_label
_atom_site_fract_x
_atom_site_fract_y
_atom_site_fract_z
Co1 0.091 0.091 0.719
Ni1 0.000 0.000 0.000
Ni2 0.040 0.358 0.642
Ni3 0.176 0.176 0.176